DFT (PBE) results for a relaxed UReIr crystal.

Output
- E: -10.311 eV per atom
- Total magnetic moment: 0.0 Bohr magnetons per cell
- Offset from the most stable computed form: 173 meV per atom

Cell: 6.2981 6.2981 6.2981 Å, 90.00 90.00 90.00°
Last column: nearest neighbours and their distance in Å.
Space group F-43m (No. 216)
One atom of each set of equivalent atoms:
U1 0.0000 0.0000 0.0000 x4  4 Re 2.73, 4 Ir 2.73
Re1 0.2500 0.2500 0.2500 x4  4 U 2.73
Ir1 0.2500 0.2500 0.7500 x4  4 U 2.73

DFT (PBE) results for a relaxed UReIr crystal.

Output
- E: -10.484 eV per atom
- Total magnetic moment: 0.1 Bohr magnetons per cell
- Offset from the most stable computed form: 0 meV per atom

Cell: 6.2424 6.2424 6.2424 Å, 90.00 90.00 90.00°
Last column: nearest neighbours and their distance in Å.
Space group F-43m (No. 216)
One atom of each set of equivalent atoms:
U1 0.0000 0.0000 0.0000 x4  4 Re 2.70
Re1 0.2500 0.2500 0.2500 x4  4 U 2.70, 4 Ir 2.70
Ir1 0.0000 0.0000 0.5000 x4  4 Re 2.70

DFT (PBE) results for a relaxed YRe2Ir crystal.

Output
- E: -9.777 eV per atom
- Total magnetic moment: 3.4 Bohr magnetons per cell

Cell: 6.4895 6.4895 6.4895 Å, 90.00 90.00 90.00°
Last column: nearest neighbours and their distance in Å.
Space group F-43m (No. 216)
One atom of each set of equivalent atoms:
Y1 0.0000 0.0000 0.0000 x4  4 Ir 2.81, 4 Re 2.81
Re1 0.0000 0.0000 0.5000 x4  4 Re 2.81, 4 Ir 2.81
Re2 0.2500 0.2500 0.7500 x4  4 Re 2.81, 4 Y 2.81
Ir1 0.2500 0.2500 0.2500 x4  4 Re 2.81, 4 Y 2.81

DFT (PBE) results for a relaxed YReIr2 crystal.

Output
- E: -8.893 eV per atom
- Total magnetic moment: 0.0 Bohr magnetons per cell

Cell: 6.4857 6.4857 6.4857 Å, 90.00 90.00 90.00°
Last column: nearest neighbours and their distance in Å.
Space group F-43m (No. 216)
One atom of each set of equivalent atoms:
Y1 0.0000 0.0000 0.0000 x4  4 Re 2.81, 4 Ir 2.81
Re1 0.2500 0.2500 0.7500 x4  4 Ir 2.81, 4 Y 2.81
Ir1 0.0000 0.0000 0.5000 x4  4 Ir 2.81, 4 Re 2.81
Ir2 0.2500 0.2500 0.2500 x4  4 Ir 2.81, 4 Y 2.81

DFT (PBE) results for a relaxed Zn2ReIr crystal.

Output
- E: -5.742 eV per atom
- Total magnetic moment: 0.4 Bohr magnetons per cell

Cell: 6.1263 6.1263 6.1263 Å, 90.00 90.00 90.00°
Last column: nearest neighbours and their distance in Å.
Space group F-43m (No. 216)
One atom of each set of equivalent atoms:
Zn1 0.0000 0.0000 0.0000 x4  4 Ir 2.65, 4 Zn 2.65
Zn2 0.2500 0.2500 0.2500 x4  4 Zn 2.65, 4 Re 2.65
Re1 0.0000 0.0000 0.5000 x4  4 Zn 2.65, 4 Ir 2.65
Ir1 0.2500 0.2500 0.7500 x4  4 Re 2.65, 4 Zn 2.65

DFT (PBE) results for a relaxed ZrRe2Ir crystal.

Output
- E: -10.516 eV per atom
- Total magnetic moment: 4.0 Bohr magnetons per cell

Cell: 6.4025 6.4025 6.4025 Å, 90.00 90.00 90.00°
Last column: nearest neighbours and their distance in Å.
Space group F-43m (No. 216)
One atom of each set of equivalent atoms:
Zr1 0.0000 0.0000 0.0000 x4  4 Re 2.77, 4 Ir 2.77
Re1 0.0000 0.0000 0.5000 x4  4 Re 2.77, 4 Ir 2.77
Re2 0.2500 0.2500 0.7500 x4  4 Zr 2.77, 4 Re 2.77
Ir1 0.2500 0.2500 0.2500 x4  4 Zr 2.77, 4 Re 2.77

DFT (PBE) results for a relaxed IrS crystal.

Output
- E: -5.883 eV per atom
- Total magnetic moment: 0.0 Bohr magnetons per cell

Cell: 2.9638 2.9638 3.8607 Å, 90.00 90.00 120.00°
Last column: nearest neighbours and their distance in Å.
Space group P-6m2 (No. 187)
One atom of each set of equivalent atoms:
Ir1 0.0000 0.0000 0.0000 x1  6 S 2.58
S1 0.6667 0.3333 0.5000 x1  6 Ir 2.58

DFT (PBE) results for a relaxed IrS crystal.

Output
- E: -6.390 eV per atom
- Total magnetic moment: 0.0 Bohr magnetons per cell

Cell: 5.2729 5.2729 5.2729 Å, 90.00 90.00 90.00°
Last column: nearest neighbours and their distance in Å.
Space group F-43m (No. 216)
One atom of each set of equivalent atoms:
Ir1 0.0000 0.0000 0.0000 x4  4 S 2.28
S1 0.2500 0.2500 0.7500 x4  4 Ir 2.28

Number 3 is which compound? YRe2Ir